Entry from the Alexandria database: crystalline MgAlAu2 at its relaxed geometry (GGA-PBEsol).

abc: 4.5348 4.5348 4.5348
angles: 60.00 60.00 60.00
Fractional coordinates of all 4 atoms:
Mg: 0.0000 0.0000 0.0000
Au: 0.2500 0.2500 0.2500
Au: 0.7500 0.7500 0.7500
Al: 0.5000 0.5000 0.5000

Computed properties:
ΔE_f	-0.50	eV/atom

Entry from the Alexandria database: crystalline ReOsCl2 at its relaxed geometry (GGA-PBEsol).

abc: 4.2885 4.2885 4.2885
angles: 60.00 60.00 60.00
Fractional coordinates of all 4 atoms:
Re: 0.5000 0.5000 0.5000
Os: 0.0000 0.0000 0.0000
Cl: 0.2500 0.2500 0.2500
Cl: 0.7500 0.7500 0.7500

Computed properties:
excess energy over the best structure of this formula in the dataset	1122.8	meV/atom
raw formation energy	155	kJ per mole of atoms

Entry from the Alexandria database: crystalline TaCdAu2 at its relaxed geometry (GGA-PBEsol).

abc: 2.8122 5.0207 5.0207
angles: 90.05 90.00 90.00
Fractional coordinates of all 4 atoms:
Cd: 0.5000 0.0000 0.0000
Au: 0.0000 0.5000 0.0000
Au: 0.0000 0.0000 0.5000
Ta: 0.5000 0.5000 0.5000

Computed properties:
ΔE_f	0.01	eV/atom

Entry from the Alexandria database: crystalline KTl3 at its relaxed geometry (GGA-PBEsol).

abc: 4.9136 4.9062 4.9062
angles: 90.00 90.00 90.00
Fractional coordinates of all 4 atoms:
Tl: 0.5000 0.5000 0.0000
Tl: 0.0000 0.5000 0.5000
Tl: 0.5000 0.0000 0.5000
K: 0.0000 0.0000 0.0000

Computed properties:
ΔE_f	-0.02	eV/atom

Let's list volume in order: 65.9; 55.8; 70.9; 118.3 Å³/cell.